# GGA-PBE AlTcHg2, relaxed
# Symmetry: I-42d, No. 122
# Raw total energy: -3.096 eV per atom
# DFT formation energy: 0.583 eV/atom
data_AlTcHg2
_cell_length_a 10.491
_cell_length_b 10.491
_cell_length_c 10.491
_cell_angle_alpha 158.19
_cell_angle_beta 158.19
_cell_angle_gamma 31.04
_space_group_name_H-M_alt 'P 1'
_space_group_IT_number 1
_space_group_name_Hall 'P 1'
loop_
_atom_site_label
_atom_site_fract_x
_atom_site_fract_y
_atom_site_fract_z
Al1 0.000 0.000 0.000
Al2 0.750 0.250 0.500
Tc1 0.250 0.750 0.500
Tc2 0.500 0.500 0.000
Hg1 0.130 0.625 0.005
Hg2 0.375 0.380 0.505
Hg3 0.620 0.125 0.995
Hg4 0.875 0.870 0.495



# GGA-PBE NdSm2Pd4, relaxed
# Symmetry: Fmmm, No. 69
# Raw total energy: -5.187 eV per atom
# DFT formation energy: -0.190 eV/atom
data_NdSm2Pd4
_cell_length_a 8.820
_cell_length_b 8.159
_cell_length_c 5.310
_cell_angle_alpha 78.70
_cell_angle_beta 65.12
_cell_angle_gamma 36.18
_space_group_name_H-M_alt 'P 1'
_space_group_IT_number 1
_space_group_name_Hall 'P 1'
loop_
_atom_site_label
_atom_site_fract_x
_atom_site_fract_y
_atom_site_fract_z
Nd1 0.000 0.000 0.000
Sm1 0.367 0.367 0.633
Sm2 0.633 0.633 0.367
Pd1 0.000 0.000 0.500
Pd2 0.185 0.185 0.815
Pd3 0.500 0.500 0.000
Pd4 0.815 0.815 0.185



# GGA-PBE TiMn3Br, relaxed
# ΔE to the lowest computed polymorph: 0.128 eV per atom
# Symmetry: Pm-3m, No. 221
# Raw total energy: -6.169 eV per atom
# Energy relative to the elements, uncorrected: 1246 meV per atom
data_TiMn3Br
_cell_length_a 4.258
_cell_length_b 4.258
_cell_length_c 4.258
_cell_angle_alpha 90.00
_cell_angle_beta 90.00
_cell_angle_gamma 90.00
_space_group_name_H-M_alt 'P 1'
_space_group_IT_number 1
_space_group_name_Hall 'P 1'
loop_
_atom_site_label
_atom_site_fract_x
_atom_site_fract_y
_atom_site_fract_z
Ti1 0.000 0.000 0.000
Mn1 0.000 0.500 0.500
Mn2 0.500 0.000 0.500
Mn3 0.500 0.500 0.000
Br1 0.500 0.500 0.500



# GGA-PBE Tm2ScRh3, relaxed
# Symmetry: Cmmm, No. 65
# Raw total energy: -7.198 eV per atom
# DFT formation energy: -0.976 eV/atom
data_Tm2ScRh3
_cell_length_a 7.421
_cell_length_b 7.421
_cell_length_c 3.351
_cell_angle_alpha 90.00
_cell_angle_beta 90.00
_cell_angle_gamma 143.10
_space_group_name_H-M_alt 'P 1'
_space_group_IT_number 1
_space_group_name_Hall 'P 1'
loop_
_atom_site_label
_atom_site_fract_x
_atom_site_fract_y
_atom_site_fract_z
Tm1 0.165 0.835 0.000
Tm2 0.835 0.165 0.000
Sc1 0.500 0.500 0.000
Rh1 0.000 0.000 0.500
Rh2 0.338 0.662 0.500
Rh3 0.662 0.338 0.500



# GGA-PBE Cd3Hg5Pt12, relaxed
# Symmetry: Ia-3d, No. 230
# Raw total energy: -3.380 eV per atom
# DFT formation energy: 0.457 eV/atom
data_Cd3Hg5Pt12
_cell_length_a 13.599
_cell_length_b 13.599
_cell_length_c 13.599
_cell_angle_alpha 109.47
_cell_angle_beta 109.47
_cell_angle_gamma 109.47
_space_group_name_H-M_alt 'P 1'
_space_group_IT_number 1
_space_group_name_Hall 'P 1'
loop_
_atom_site_label
_atom_site_fract_x
_atom_site_fract_y
_atom_site_fract_z
Cd1 0.125 0.250 0.375
Cd2 0.125 0.375 0.750
Cd3 0.250 0.375 0.125
Cd4 0.250 0.875 0.625
Cd5 0.375 0.125 0.250
Cd6 0.375 0.750 0.125
Cd7 0.625 0.250 0.875
Cd8 0.625 0.875 0.750
Cd9 0.750 0.125 0.375
Cd10 0.750 0.625 0.875
Cd11 0.875 0.625 0.250
Cd12 0.875 0.750 0.625
Hg1 0.000 0.000 0.000
Hg2 0.000 0.000 0.500
Hg3 0.000 0.500 0.000
Hg4 0.000 0.500 0.500
Hg5 0.125 0.750 0.875
Hg6 0.125 0.875 0.250
Hg7 0.250 0.125 0.875
Hg8 0.250 0.625 0.375
Hg9 0.375 0.250 0.625
Hg10 0.375 0.625 0.750
Hg11 0.500 0.000 0.000
Hg12 0.500 0.000 0.500
Hg13 0.500 0.500 0.000
Hg14 0.500 0.500 0.500
Hg15 0.625 0.375 0.250
Hg16 0.625 0.750 0.375
Hg17 0.750 0.375 0.625
Hg18 0.750 0.875 0.125
Hg19 0.875 0.125 0.750
Hg20 0.875 0.250 0.125
Pt1 0.071 0.726 0.651
Pt2 0.071 0.845 0.420
Pt3 0.075 0.226 0.155
Pt4 0.075 0.349 0.920
Pt5 0.080 0.655 0.429
Pt6 0.080 0.925 0.651
Pt7 0.151 0.226 0.571
Pt8 0.151 0.425 0.580
Pt9 0.155 0.075 0.226
Pt10 0.155 0.580 0.929
Pt11 0.226 0.155 0.075
Pt12 0.226 0.571 0.151
Pt13 0.274 0.349 0.929
Pt14 0.274 0.425 0.345
Pt15 0.345 0.274 0.425
Pt16 0.345 0.571 0.920
Pt17 0.349 0.920 0.075
Pt18 0.349 0.929 0.274
Pt19 0.420 0.071 0.845
Pt20 0.420 0.849 0.575
Pt21 0.425 0.345 0.274
Pt22 0.425 0.580 0.151
Pt23 0.429 0.080 0.655
Pt24 0.429 0.849 0.774
Pt25 0.571 0.151 0.226
Pt26 0.571 0.920 0.345
Pt27 0.575 0.420 0.849
Pt28 0.575 0.655 0.726
Pt29 0.580 0.151 0.425
Pt30 0.580 0.929 0.155
Pt31 0.651 0.071 0.726
Pt32 0.651 0.080 0.925
Pt33 0.655 0.429 0.080
Pt34 0.655 0.726 0.575
Pt35 0.726 0.575 0.655
Pt36 0.726 0.651 0.071
Pt37 0.774 0.429 0.849
Pt38 0.774 0.845 0.925
Pt39 0.845 0.420 0.071
Pt40 0.845 0.925 0.774
Pt41 0.849 0.575 0.420
Pt42 0.849 0.774 0.429
Pt43 0.920 0.075 0.349
Pt44 0.920 0.345 0.571
Pt45 0.925 0.651 0.080
Pt46 0.925 0.774 0.845
Pt47 0.929 0.155 0.580
Pt48 0.929 0.274 0.349



# GGA-PBE KRb4Sb2, relaxed
# Symmetry: R-3m, No. 166
# Raw total energy: -2.165 eV per atom
# Energy relative to the elements, uncorrected: -277 meV per atom
data_KRb4Sb2
_cell_length_a 12.471
_cell_length_b 12.471
_cell_length_c 12.471
_cell_angle_alpha 29.65
_cell_angle_beta 29.65
_cell_angle_gamma 29.65
_space_group_name_H-M_alt 'P 1'
_space_group_IT_number 1
_space_group_name_Hall 'P 1'
loop_
_atom_site_label
_atom_site_fract_x
_atom_site_fract_y
_atom_site_fract_z
K1 0.000 0.000 0.000
Rb1 0.201 0.201 0.201
Rb2 0.413 0.413 0.413
Rb3 0.587 0.587 0.587
Rb4 0.799 0.799 0.799
Sb1 0.096 0.096 0.096
Sb2 0.904 0.904 0.904



# GGA-PBE TaMoOs2, relaxed
# ΔE to the lowest computed polymorph: 0.145 eV per atom
# Symmetry: P4mm, No. 99
# Raw total energy: -11.173 eV per atom
# DFT formation energy: 0.112 eV/atom
data_TaMoOs2
_cell_length_a 3.147
_cell_length_b 3.147
_cell_length_c 6.435
_cell_angle_alpha 90.00
_cell_angle_beta 90.00
_cell_angle_gamma 90.00
_space_group_name_H-M_alt 'P 1'
_space_group_IT_number 1
_space_group_name_Hall 'P 1'
loop_
_atom_site_label
_atom_site_fract_x
_atom_site_fract_y
_atom_site_fract_z
Ta1 0.000 0.000 0.000
Mo1 0.500 0.500 0.268
Os1 0.000 0.000 0.485
Os2 0.500 0.500 0.777



# GGA-PBE PmMg2SiPd2, relaxed
# Symmetry: I4/mmm, No. 139
# Raw total energy: -4.309 eV per atom
# Energy relative to the elements, uncorrected: -351 meV per atom
data_PmMg2SiPd2
_cell_length_a 6.526
_cell_length_b 6.526
_cell_length_c 6.526
_cell_angle_alpha 135.40
_cell_angle_beta 135.40
_cell_angle_gamma 64.91
_space_group_name_H-M_alt 'P 1'
_space_group_IT_number 1
_space_group_name_Hall 'P 1'
loop_
_atom_site_label
_atom_site_fract_x
_atom_site_fract_y
_atom_site_fract_z
Pm1 0.000 0.000 0.000
Mg1 0.250 0.750 0.500
Mg2 0.750 0.250 0.500
Si1 0.500 0.500 0.000
Pd1 0.295 0.295 0.000
Pd2 0.705 0.705 0.000



# GGA-PBE In2CuGe, relaxed
# Symmetry: R-3m, No. 166
# Raw total energy: -3.190 eV per atom
# DFT formation energy: 0.357 eV/atom
data_In2CuGe
_cell_length_a 10.503
_cell_length_b 10.503
_cell_length_c 10.503
_cell_angle_alpha 17.37
_cell_angle_beta 17.37
_cell_angle_gamma 17.37
_space_group_name_H-M_alt 'P 1'
_space_group_IT_number 1
_space_group_name_Hall 'P 1'
loop_
_atom_site_label
_atom_site_fract_x
_atom_site_fract_y
_atom_site_fract_z
In1 0.084 0.084 0.084
In2 0.916 0.916 0.916
Cu1 0.000 0.000 0.000
Ge1 0.500 0.500 0.500



# GGA-PBE Er2BeH, relaxed
# Symmetry: R-3m, No. 166
# Raw total energy: -3.778 eV per atom
data_Er2BeH
_cell_length_a 7.388
_cell_length_b 7.388
_cell_length_c 7.388
_cell_angle_alpha 32.09
_cell_angle_beta 32.09
_cell_angle_gamma 32.09
_space_group_name_H-M_alt 'P 1'
_space_group_IT_number 1
_space_group_name_Hall 'P 1'
loop_
_atom_site_label
_atom_site_fract_x
_atom_site_fract_y
_atom_site_fract_z
Er1 0.100 0.100 0.100
Er2 0.900 0.900 0.900
Be1 0.500 0.500 0.500
H1 0.000 0.000 0.000



# GGA-PBE BaSrSe2N, relaxed
# ΔE to the lowest computed polymorph: 0.000 eV per atom
# Symmetry: P4/mmm, No. 123
# Raw total energy: -4.217 eV per atom
# Energy relative to the elements, uncorrected: -437 meV per atom
data_BaSrSe2N
_cell_length_a 5.838
_cell_length_b 5.838
_cell_length_c 4.897
_cell_angle_alpha 90.00
_cell_angle_beta 90.00
_cell_angle_gamma 90.00
_space_group_name_H-M_alt 'P 1'
_space_group_IT_number 1
_space_group_name_Hall 'P 1'
loop_
_atom_site_label
_atom_site_fract_x
_atom_site_fract_y
_atom_site_fract_z
Ba1 0.000 0.000 0.000
Sr1 0.500 0.500 0.500
Se1 0.000 0.500 0.500
Se2 0.500 0.000 0.500
N1 0.500 0.500 0.000



# GGA-PBE Re2Ru, relaxed
# ΔE to the lowest computed polymorph: 0.007 eV per atom
# Symmetry: C2/c, No. 15
# Raw total energy: -11.449 eV per atom
# DFT formation energy: -0.058 eV/atom
data_Re2Ru
_cell_length_a 4.790
_cell_length_b 4.790
_cell_length_c 5.194
_cell_angle_alpha 117.27
_cell_angle_beta 117.27
_cell_angle_gamma 59.96
_space_group_name_H-M_alt 'P 1'
_space_group_IT_number 1
_space_group_name_Hall 'P 1'
loop_
_atom_site_label
_atom_site_fract_x
_atom_site_fract_y
_atom_site_fract_z
Re1 0.080 0.248 0.237
Re2 0.248 0.080 0.737
Re3 0.752 0.920 0.263
Re4 0.920 0.752 0.763
Ru1 0.420 0.580 0.250
Ru2 0.580 0.420 0.750



# GGA-PBE Cr3ReW, relaxed
# ΔE to the lowest computed polymorph: 0.506 eV per atom
# Symmetry: R-3, No. 148
# Raw total energy: -10.011 eV per atom
# DFT formation energy: 0.843 eV/atom
data_Cr3ReW
_cell_length_a 5.740
_cell_length_b 5.740
_cell_length_c 5.740
_cell_angle_alpha 65.85
_cell_angle_beta 65.85
_cell_angle_gamma 65.85
_space_group_name_H-M_alt 'P 1'
_space_group_IT_number 1
_space_group_name_Hall 'P 1'
loop_
_atom_site_label
_atom_site_fract_x
_atom_site_fract_y
_atom_site_fract_z
Cr1 0.007 0.488 0.256
Cr2 0.256 0.007 0.488
Cr3 0.488 0.256 0.007
Cr4 0.512 0.744 0.993
Cr5 0.744 0.993 0.512
Cr6 0.993 0.512 0.744
Re1 0.405 0.405 0.405
Re2 0.595 0.595 0.595
W1 0.096 0.096 0.096
W2 0.904 0.904 0.904



# GGA-PBE PuZrIn2, relaxed
# ΔE to the lowest computed polymorph: 0.122 eV per atom
# Symmetry: P4/mmm, No. 123
# Raw total energy: -7.213 eV per atom
# DFT formation energy: -0.124 eV/atom
data_PuZrIn2
_cell_length_a 4.598
_cell_length_b 4.598
_cell_length_c 4.625
_cell_angle_alpha 90.00
_cell_angle_beta 90.00
_cell_angle_gamma 90.00
_space_group_name_H-M_alt 'P 1'
_space_group_IT_number 1
_space_group_name_Hall 'P 1'
loop_
_atom_site_label
_atom_site_fract_x
_atom_site_fract_y
_atom_site_fract_z
Pu1 0.000 0.000 0.000
Zr1 0.500 0.500 0.000
In1 0.000 0.500 0.500
In2 0.500 0.000 0.500



# GGA-PBE La4Zn3Cu, relaxed
# Symmetry: P4/mmm, No. 123
# Raw total energy: -3.716 eV per atom
# DFT formation energy: -0.262 eV/atom
data_La4Zn3Cu
_cell_length_a 3.747
_cell_length_b 3.747
_cell_length_c 14.918
_cell_angle_alpha 90.00
_cell_angle_beta 90.00
_cell_angle_gamma 90.00
_space_group_name_H-M_alt 'P 1'
_space_group_IT_number 1
_space_group_name_Hall 'P 1'
loop_
_atom_site_label
_atom_site_fract_x
_atom_site_fract_y
_atom_site_fract_z
La1 0.000 0.000 0.120
La2 0.000 0.000 0.373
La3 0.000 0.000 0.627
La4 0.000 0.000 0.880
Zn1 0.500 0.500 0.249
Zn2 0.500 0.500 0.500
Zn3 0.500 0.500 0.751
Cu1 0.500 0.500 0.000



# GGA-PBE AcLa5Tb, relaxed
# Symmetry: C2/c, No. 15
# Raw total energy: -4.692 eV per atom
# DFT formation energy: 0.076 eV/atom
data_AcLa5Tb
_cell_length_a 6.851
_cell_length_b 6.851
_cell_length_c 11.996
_cell_angle_alpha 102.35
_cell_angle_beta 102.35
_cell_angle_gamma 97.58
_space_group_name_H-M_alt 'P 1'
_space_group_IT_number 1
_space_group_name_Hall 'P 1'
loop_
_atom_site_label
_atom_site_fract_x
_atom_site_fract_y
_atom_site_fract_z
Ac1 0.000 0.500 0.000
Ac2 0.500 0.000 0.500
La1 0.067 0.279 0.535
La2 0.085 0.915 0.250
La3 0.279 0.067 0.035
La4 0.304 0.445 0.330
La5 0.445 0.304 0.830
La6 0.555 0.696 0.170
La7 0.696 0.555 0.670
La8 0.721 0.933 0.965
La9 0.915 0.085 0.750
La10 0.933 0.721 0.465
Tb1 0.254 0.746 0.750
Tb2 0.746 0.254 0.250



# GGA-PBE ZrMn3, relaxed
# Symmetry: C2/m, No. 12
# Raw total energy: -9.121 eV per atom
# DFT formation energy: -0.107 eV/atom
data_ZrMn3
_cell_length_a 4.964
_cell_length_b 4.964
_cell_length_c 8.390
_cell_angle_alpha 107.28
_cell_angle_beta 107.28
_cell_angle_gamma 59.89
_space_group_name_H-M_alt 'P 1'
_space_group_IT_number 1
_space_group_name_Hall 'P 1'
loop_
_atom_site_label
_atom_site_fract_x
_atom_site_fract_y
_atom_site_fract_z
Zr1 0.000 0.000 0.000
Zr2 0.142 0.142 0.427
Zr3 0.858 0.858 0.573
Mn1 0.078 0.586 0.250
Mn2 0.334 0.334 0.004
Mn3 0.414 0.414 0.750
Mn4 0.414 0.922 0.750
Mn5 0.500 0.500 0.500
Mn6 0.586 0.078 0.250
Mn7 0.586 0.586 0.250
Mn8 0.666 0.666 0.996
Mn9 0.922 0.414 0.750



# GGA-PBE AsRu2Au, relaxed
# Symmetry: C2/m, No. 12
# Raw total energy: -6.425 eV per atom
# DFT formation energy: 0.195 eV/atom
data_AsRu2Au
_cell_length_a 4.100
_cell_length_b 4.100
_cell_length_c 5.836
_cell_angle_alpha 99.75
_cell_angle_beta 99.75
_cell_angle_gamma 42.14
_space_group_name_H-M_alt 'P 1'
_space_group_IT_number 1
_space_group_name_Hall 'P 1'
loop_
_atom_site_label
_atom_site_fract_x
_atom_site_fract_y
_atom_site_fract_z
As1 0.000 0.000 0.000
Ru1 0.256 0.256 0.799
Ru2 0.744 0.744 0.201
Au1 0.500 0.500 0.500



# GGA-PBE VTcSe2, relaxed
# ΔE to the lowest computed polymorph: 0.014 eV per atom
# Symmetry: R-3m, No. 166
# Raw total energy: -6.624 eV per atom
# Energy relative to the elements, uncorrected: -10 meV per atom
data_VTcSe2
_cell_length_a 8.451
_cell_length_b 8.451
_cell_length_c 8.451
_cell_angle_alpha 21.07
_cell_angle_beta 21.07
_cell_angle_gamma 21.07
_space_group_name_H-M_alt 'P 1'
_space_group_IT_number 1
_space_group_name_Hall 'P 1'
loop_
_atom_site_label
_atom_site_fract_x
_atom_site_fract_y
_atom_site_fract_z
V1 0.000 0.000 0.000
Tc1 0.500 0.500 0.500
Se1 0.402 0.402 0.402
Se2 0.598 0.598 0.598



# GGA-PBE NaHgCl3, relaxed
# ΔE to the lowest computed polymorph: 0.000 eV per atom
# Symmetry: P2_1/m, No. 11
# Raw total energy: -2.491 eV per atom
# Energy relative to the elements, uncorrected: -1059 meV per atom
data_NaHgCl3
_cell_length_a 7.024
_cell_length_b 4.247
_cell_length_c 10.532
_cell_angle_alpha 90.00
_cell_angle_beta 97.13
_cell_angle_gamma 90.00
_space_group_name_H-M_alt 'P 1'
_space_group_IT_number 1
_space_group_name_Hall 'P 1'
loop_
_atom_site_label
_atom_site_fract_x
_atom_site_fract_y
_atom_site_fract_z
Na1 0.015 0.250 0.175
Na2 0.985 0.750 0.825
Hg1 0.484 0.750 0.257
Hg2 0.516 0.250 0.743
Cl1 0.167 0.250 0.713
Cl2 0.223 0.750 0.068
Cl3 0.345 0.250 0.364
Cl4 0.655 0.750 0.636
Cl5 0.777 0.250 0.932
Cl6 0.833 0.750 0.287



Magnetic moment (μB/cell)
1.494, 0.000, 0.000, 0.000, 0.000, 1.138, 0.000, 0.000, 0.000, 0.000, 2.701, 0.000, 0.000, 6.822, 0.000, 0.000, 2.798, 0.000, 1.174, 0.000